VASP calculation (PBE-GGA) on crystalline LaPr2Nd4Ho at its relaxed geometry.

Properties
Calculated total energy ... -4.75 eV/atom
Calculated formation energy ... 0.14 eV/f.u.
DOS at the Fermi energy ... 13.1 states/eV per cell
ρ ... 6.84 g cm⁻³
Total magnetization ... 0.00 μB/f.u.

abc: 6.3430 3.6906 12.2466
angles: 90.00 100.28 90.00
With the nearest neighbours (Å) after each atom.
Sites, in units of the cell vectors:
La: 0.0000 0.0000 0.0000  6 Nd 3.67, 4 Ho 3.67, 2 La 3.69
Pr: 0.0000 0.5000 0.5000  6 Pr 3.67-3.69, 6 Nd 3.70-3.71
Pr: 0.5000 0.0000 0.5000  6 Pr 3.67-3.69, 6 Nd 3.69-3.72
Nd: 0.2498 0.5000 0.2491  6 Nd 3.66-3.69, 2 La 3.67, 1 Ho 3.68, 3 Pr 3.69-3.70
Nd: 0.2519 0.0000 0.7529  2 Ho 3.65, 6 Nd 3.66-3.69, 1 La 3.67, 3 Pr 3.71-3.72
Nd: 0.7481 0.0000 0.2471  2 Ho 3.65, 6 Nd 3.66-3.69, 1 La 3.67, 3 Pr 3.71-3.72
Nd: 0.7502 0.5000 0.7509  6 Nd 3.66-3.69, 2 La 3.67, 1 Ho 3.68, 3 Pr 3.69-3.70
Ho: 0.5000 0.5000 0.0000  6 Nd 3.65-3.68, 4 La 3.67, 2 Ho 3.69